Below is crystalline AcTaPO at its relaxed geometry, with properties calculated at the PBE level.

Results
Its symmetry is Pmc2_1, No. 26. The value obtained for the final energy is -64.13 eV/cell. For the excess energy over the best structure of this formula in the dataset, the calculation gives 450 meV/atom.

a b c (Å): 3.902 6.528 6.666
angles (deg): 90.00 90.00 90.00
Sites, in units of the cell vectors:
Ac1 0.000 0.227 0.000
Ac2 0.000 0.773 0.500
Ta1 0.500 0.241 0.452
Ta2 0.500 0.759 0.952
P1 0.500 0.474 0.726
P2 0.500 0.526 0.226
O1 0.000 0.152 0.422
O2 0.000 0.848 0.922